Li3CaP: relaxed, PBE-GGA.

Unit cell a=5.149 b=5.149 c=5.149 alpha=90.00 beta=90.00 gamma=90.00
Sites, in units of the cell vectors:
Li 0.000 0.500 0.000
Li 0.000 0.000 0.500
Li 0.500 0.000 0.000
P 0.500 0.500 0.500
Ca 0.000 0.000 0.000

Values from the calculation:
Its space group is No. 221. As for the formation enthalpy at 0 K: 0.995 eV/atom. For the magnetization, the calculation gives 0.00 μB/f.u.